Compound: Gd2ScBi
Source: Alexandria via LeMat-Bulk
Functional: PBE
Structure: optimized geometry

Summary:
Space-group type: No. 166
Size of the total moment (μB/f.u.): 14.265
Formation energy from the elements (eV/f.u.): 0.143
Offset from the most stable computed form (eV/atom): 0.427

Cell: 3.489 3.489 11.996 Å, 81.64 81.64 60.00°
Site moments in Bohr magnetons follow the coordinates.
Atoms (fractional coordinates):
Sc 0.500 0.500 0.500  0.15
Gd 0.090 0.090 0.729  -7.11
Bi 0.000 0.000 0.000  0.04
Gd 0.910 0.910 0.271  -7.11